The following is a PBE calculation of an optimized crystal structure of Ho5Sc4Tl, from the Alexandria database.

Properties
DOS at the Fermi energy = 14.5 states/eV/cell
calculated formation energy = -0.56 kcal/mol of atoms
total moment = 0.0 μB per cell

The structure in extended XYZ format:
```
10
Lattice="3.4780 0.0000 0.0000 0.0000 3.4780 0.0000 0.0000 0.0000 22.8599" Properties=species:S:1:pos:R:3 pbc="T T T"
Ho 0.0000 0.0000 0.0000
Ho 0.0000 0.0000 4.6030
Ho 0.0000 0.0000 9.2232
Ho 0.0000 0.0000 13.6367
Ho 0.0000 0.0000 18.2569
Sc 1.7390 1.7390 2.3067
Sc 1.7390 1.7390 6.9197
Sc 1.7390 1.7390 15.9402
Sc 1.7390 1.7390 20.5532
Tl 1.7390 1.7390 11.4300
```

---

The following is a PBE calculation of an optimized crystal structure of BaMnTe2, from the Alexandria database.

Properties
uncorrected energy = -0.3469 Ry per atom
DOS at the Fermi energy = 1.3 states/eV/cell
total moment = 5.1 μB per cell

The structure in extended XYZ format:
```
4
Lattice="-2.3185 2.3185 6.1007 2.3185 -2.3185 6.1007 2.3185 2.3185 -6.1007" Properties=species:S:1:pos:R:3 pbc="T T T"
Ba 0.0000 0.0000 0.0000
Mn 2.3185 0.0000 3.0504
Te 0.0000 0.0000 6.1007
Te 0.0000 2.3185 3.0504
```

---

The following is a PBE calculation of an optimized crystal structure of SmThAl, from the Alexandria database.

Properties
DOS at the Fermi energy = 8.6 states/eV/cell
calculated formation energy = -2.53 kcal/mol of atoms
total moment = 0.0 μB per cell

The structure in extended XYZ format:
```
6
Lattice="2.2734 -9.5669 0.0000 2.2734 9.5669 0.0000 0.0000 0.0000 4.0608" Properties=species:S:1:pos:R:3 pbc="T T T"
Sm 2.2734 5.6128 3.0456
Sm 2.2734 -5.6128 1.0152
Th 2.2734 1.6826 3.0456
Th 2.2734 -1.6826 1.0152
Al 2.2734 8.7769 3.0456
Al 2.2734 -8.7769 1.0152
```

---

Repeat the second record exactly.
The following is a PBE calculation of an optimized crystal structure of BaMnTe2, from the Alexandria database.

Properties
uncorrected energy = -0.3469 Ry per atom
DOS at the Fermi energy = 1.3 states/eV/cell
total moment = 5.1 μB per cell

The structure in extended XYZ format:
```
4
Lattice="-2.3185 2.3185 6.1007 2.3185 -2.3185 6.1007 2.3185 2.3185 -6.1007" Properties=species:S:1:pos:R:3 pbc="T T T"
Ba 0.0000 0.0000 0.0000
Mn 2.3185 0.0000 3.0504
Te 0.0000 0.0000 6.1007
Te 0.0000 2.3185 3.0504
```